Entry 1:
Cu2AuS | PBE-GGA | optimized geometry

Cell lengths 4.830, 4.830, 7.442 Å; angles 71.07, 71.07, 90.00 degrees
Atoms (fractional coordinates):
S 0.500 0.500 0.000
S 0.250 0.750 0.500
Au 0.000 0.000 0.000
Au 0.750 0.250 0.500
Cu 0.536 0.125 0.250
Cu 0.214 0.625 0.250
Cu 0.375 0.464 0.750
Cu 0.875 0.786 0.750

Calculated values
- DOS at the Fermi energy (states/eV/f.u.) = 2.880
- ΔE_f (raw) (eV/f.u.) = 0.68
- E_tot (hartree per atom) = -0.1370
- space group = I-42d


Entry 2:
BaLa2MoN4 | PBE-GGA | optimized geometry

Cell lengths 3.646, 6.724, 12.679 Å; angles 90.00, 90.00, 105.73 degrees
Atoms (fractional coordinates):
Ba 0.084 0.167 0.750
Ba 0.916 0.833 0.250
La 0.371 0.741 0.538
La 0.629 0.259 0.038
La 0.629 0.259 0.462
La 0.371 0.741 0.962
Mo 0.821 0.642 0.750
Mo 0.179 0.358 0.250
N 0.258 0.516 0.125
N 0.742 0.484 0.625
N 0.742 0.484 0.875
N 0.258 0.516 0.375
N 0.000 0.000 0.500
N 0.000 0.000 0.000
N 0.393 0.787 0.750
N 0.607 0.213 0.250

Calculated values
- DOS at the Fermi energy (states/eV/f.u.) = 4.644
- ΔE_f (raw) (eV/f.u.) = -7.51
- E_tot (hartree per atom) = -0.2913
- space group = Cmcm


Entry 3:
GeCS3 | PBE-GGA | optimized geometry

Cell lengths 4.651, 4.651, 4.651 Å; angles 90.00, 90.00, 90.00 degrees
Atoms (fractional coordinates):
C 0.500 0.500 0.500
Ge 0.000 0.000 0.000
S 0.000 0.500 0.000
S 0.000 0.000 0.500
S 0.500 0.000 0.000

Calculated values
- DOS at the Fermi energy (states/eV/f.u.) = 7.791
- relative energy among the computed polymorphs (kJ/mol of formula units) = 401.6
- ΔE_f (raw) (eV/f.u.) = 9.58
- E_tot (hartree per atom) = -0.1223
- space group = Pm-3m